(1)
First-principles (PBE) data for crystalline KAsRh2 at its relaxed geometry, as listed in Alexandria.

Properties
crystal system = trigonal
energy relative to the elements = -0.181 eV per atom

Cell: 4.155 4.155 6.652 Å, 71.76 71.76 59.99°
Atoms (fractional coordinates):
As: 0.250 0.250 0.250
K: 0.750 0.750 0.750
Rh: 0.950 0.950 0.150
Rh: 0.550 0.550 0.350


(2)
First-principles (PBE) data for crystalline Pr3Sm2Er2 at its relaxed geometry, as listed in Alexandria.

Properties
crystal system = monoclinic
energy relative to the elements = 0.116 eV per atom

Cell: 3.549 8.642 9.071 Å, 118.11 101.28 90.00°
Atoms (fractional coordinates):
Pr: 0.000 0.500 0.000
Pr: 0.214 0.795 0.427
Pr: 0.786 0.205 0.573
Sm: 0.564 0.911 0.129
Sm: 0.436 0.089 0.871
Er: 0.855 0.672 0.709
Er: 0.145 0.328 0.291


(3)
First-principles (PBE) data for crystalline Rb2DyTe6 at its relaxed geometry, as listed in Alexandria.

Properties
crystal system = monoclinic
formation energy (no corrections) = -668.2 meV per atom

Cell: 6.092 10.491 10.491 Å, 35.00 99.28 99.28°
Atoms (fractional coordinates):
Rb: 0.711 0.686 0.686
Rb: 0.289 0.314 0.314
Dy: 0.000 0.000 0.000
Te: 0.182 0.366 0.899
Te: 0.818 0.101 0.634
Te: 0.818 0.634 0.101
Te: 0.500 0.227 0.773
Te: 0.182 0.899 0.366
Te: 0.500 0.773 0.227


(4)
First-principles (PBE) data for crystalline Be3Nb2B at its relaxed geometry, as listed in Alexandria.

Properties
crystal system = orthorhombic
energy relative to the elements = -0.410 eV per atom

Cell: 4.709 4.709 6.717 Å, 109.63 109.63 92.40°
Atoms (fractional coordinates):
Be: 0.658 0.170 0.828
Be: 0.830 0.342 0.172
Be: 0.342 0.830 0.172
Be: 0.170 0.658 0.828
Be: 0.829 0.829 0.659
Be: 0.171 0.171 0.341
Nb: 0.250 0.750 0.500
Nb: 0.746 0.746 0.000
Nb: 0.750 0.250 0.500
Nb: 0.254 0.254 0.000
B: 0.333 0.333 0.665
B: 0.667 0.667 0.335


(5)
First-principles (PBE) data for crystalline SrDyGaS4 at its relaxed geometry, as listed in Alexandria.

Properties
crystal system = monoclinic
formation energy (no corrections) = -1570.7 meV per atom

Cell: 6.538 6.696 8.052 Å, 90.00 107.01 90.00°
Atoms (fractional coordinates):
Sr: 0.752 0.750 0.940
Sr: 0.248 0.250 0.060
Dy: 0.779 0.750 0.446
Dy: 0.221 0.250 0.554
Ga: 0.241 0.750 0.321
Ga: 0.759 0.250 0.679
S: 0.002 0.506 0.728
S: 0.998 0.006 0.272
S: 0.998 0.494 0.272
S: 0.002 0.994 0.728
S: 0.443 0.750 0.138
S: 0.557 0.250 0.862
S: 0.454 0.750 0.596
S: 0.546 0.250 0.404


(6)
First-principles (PBE) data for crystalline Zr2BeAl at its relaxed geometry, as listed in Alexandria.

Properties
crystal system = orthorhombic
energy relative to the elements = -0.097 eV per atom

Cell: 3.042 3.042 7.674 Å, 90.00 90.00 91.28°
Atoms (fractional coordinates):
Be: 0.500 0.500 0.718
Al: 0.000 0.000 0.550
Zr: 0.000 0.000 0.956
Zr: 0.500 0.500 0.275


(7)
First-principles (PBE) data for crystalline Sc2TaB2Ru5 at its relaxed geometry, as listed in Alexandria.

Properties
crystal system = tetragonal
energy relative to the elements = -0.600 eV per atom

Cell: 3.068 9.503 9.503 Å, 90.00 90.00 90.00°
Atoms (fractional coordinates):
Sc: 0.000 0.674 0.174
Sc: 0.000 0.326 0.826
Sc: 0.000 0.174 0.326
Sc: 0.000 0.826 0.674
Ta: 0.000 0.000 0.000
Ta: 0.000 0.500 0.500
B: 0.000 0.121 0.621
B: 0.000 0.879 0.379
B: 0.000 0.621 0.879
B: 0.000 0.379 0.121
Ru: 0.500 0.217 0.072
Ru: 0.500 0.783 0.928
Ru: 0.500 0.072 0.783
Ru: 0.500 0.717 0.428
Ru: 0.500 0.928 0.217
Ru: 0.500 0.283 0.572
Ru: 0.500 0.572 0.717
Ru: 0.500 0.428 0.283
Ru: 0.500 0.500 0.000
Ru: 0.500 0.000 0.500


(8)
First-principles (PBE) data for crystalline PmAlCuPd3 at its relaxed geometry, as listed in Alexandria.

Properties
crystal system = orthorhombic
energy relative to the elements = -0.509 eV per atom

Cell: 5.889 5.660 7.091 Å, 113.52 90.00 90.00°
Atoms (fractional coordinates):
Pm: 0.750 0.321 0.642
Pm: 0.250 0.679 0.358
Al: 0.250 0.380 0.760
Al: 0.750 0.620 0.240
Cu: 0.250 0.883 0.767
Cu: 0.750 0.117 0.233
Pd: 0.250 0.181 0.362
Pd: 0.000 0.249 0.000
Pd: 0.500 0.751 0.000
Pd: 0.500 0.249 0.000
Pd: 0.000 0.751 0.000
Pd: 0.750 0.819 0.638


- What is the formula in the sixth record?
  Zr2BeAl


- Which formula does entry 1 have?
  KAsRh2